Entry 1:
First-principles (PBE-GGA) data for a relaxed Cr2ReIr crystal, as listed in the Alexandria database.

For the uncorrected energy, the calculation gives -9.9505 eV/atom.

The structure belongs to space group F-43m (No. 216); the cell edges are 6.0463, 6.0463 and 6.0463 Å and the angles 90.00°, 90.00° and 90.00°. The distinct sites, in fractional coordinates, are Cr at (0.0000, 0.0000, 0.0000), Cr at (0.2500, 0.2500, 0.2500), Re at (0.2500, 0.2500, 0.7500) and Ir at (0.0000, 0.0000, 0.5000).

Entry 2:
First-principles (PBE-GGA) data for a relaxed Cr2ReIr crystal, as listed in the Alexandria database.

For the uncorrected energy, the calculation gives -10.1014 eV/atom.

The structure belongs to space group C2/m (No. 12); the cell edges are 8.7167, 2.6722 and 4.6947 Å and the angles 90.00°, 99.96° and 90.00°. The distinct sites, in fractional coordinates, are Cr at (0.2467, 0.0000, 0.2451), Re at (0.0000, 0.0000, 0.5000) and Ir at (0.0000, 0.5000, 0.0000).